# 1
The following is a PBE calculation of a relaxed LiNdCuNi crystal, from the Alexandria database.

a b c (Å): 4.7081 4.7081 4.7081
angles (deg): 60.00 60.00 60.00
Fractional coordinates of all 4 atoms:
Li  0.0000  0.0000  0.0000
Nd  0.5000  0.5000  0.5000
Cu  0.7500  0.7500  0.7500
Ni  0.2500  0.2500  0.2500

Computed properties:
Crystal system = cubic
Electronic total energy = -16.6 eV per cell
Symmetry = F-43m, No. 216
DFT formation energy = -0.016 eV/atom

# 2
The following is a PBE calculation of a relaxed NbPtW3 crystal, from the Alexandria database.

a b c (Å): 4.7476 4.7476 4.7476
angles (deg): 90.00 90.00 90.00
Fractional coordinates of all 5 atoms:
Nb  0.0000  0.0000  0.0000
Pt  0.5000  0.5000  0.5000
W  0.0000  0.5000  0.5000
W  0.5000  0.0000  0.5000
W  0.5000  0.5000  0.0000

Computed properties:
Crystal system = cubic
Electronic total energy = -44.8 eV per cell
Symmetry = Pm-3m, No. 221
DFT formation energy = 2.042 eV/atom

# 3
The following is a PBE calculation of a relaxed Sm12In6Ru crystal, from the Alexandria database.

a b c (Å): 8.4324 8.4324 8.4324
angles (deg): 94.02 94.02 94.02
Fractional coordinates of all 19 atoms:
Sm  0.0201  0.9092  0.6818
Sm  0.0908  0.3182  0.9799
Sm  0.2004  0.4305  0.5455
Sm  0.3182  0.9799  0.0908
Sm  0.4305  0.5455  0.2004
Sm  0.4545  0.7996  0.5695
Sm  0.5455  0.2004  0.4305
Sm  0.5695  0.4545  0.7996
Sm  0.6818  0.0201  0.9092
Sm  0.7996  0.5695  0.4545
Sm  0.9092  0.6818  0.0201
Sm  0.9799  0.0908  0.3182
In  0.1375  0.7320  0.3393
In  0.2680  0.6607  0.8625
In  0.3393  0.1375  0.7320
In  0.6607  0.8625  0.2680
In  0.7320  0.3393  0.1375
In  0.8625  0.2680  0.6607
Ru  0.0000  0.0000  0.0000

Computed properties:
Crystal system = trigonal
Electronic total energy = -86.4 eV per cell
Symmetry = R-3, No. 148
DFT formation energy = -0.213 eV/atom

# 4
The following is a PBE calculation of a relaxed Pm2Ge3SbRh4 crystal, from the Alexandria database.

a b c (Å): 4.2895 4.2895 10.3934
angles (deg): 90.00 90.00 90.00
Fractional coordinates of all 10 atoms:
Pm  0.0000  0.5000  0.2456
Pm  0.5000  0.0000  0.7544
Ge  0.0000  0.5000  0.8744
Ge  0.5000  0.0000  0.1256
Ge  0.5000  0.5000  0.5000
Sb  0.0000  0.0000  0.5000
Rh  0.0000  0.0000  0.0000
Rh  0.0000  0.5000  0.6393
Rh  0.5000  0.0000  0.3607
Rh  0.5000  0.5000  0.0000

Computed properties:
E_form (uncorrected) = -836 meV/atom
Crystal system = tetragonal
Electronic total energy = -65.2 eV per cell
Symmetry = P-4m2, No. 115

# 5
The following is a PBE calculation of a relaxed BaSi2As crystal, from the Alexandria database.

a b c (Å): 5.9019 5.9019 5.9019
angles (deg): 145.10 122.06 69.46
Fractional coordinates of all 4 atoms:
Ba  0.0000  0.0000  0.0000
Si  0.3034  0.8034  0.5000
Si  0.6966  0.1966  0.5000
As  0.5000  0.5000  0.0000

Computed properties:
E_form (uncorrected) = 98 meV/atom
Crystal system = orthorhombic
Electronic total energy = -17.0 eV per cell
Symmetry = Immm, No. 71

# 6
The following is a PBE calculation of a relaxed Zn2Sb2Se crystal, from the Alexandria database.

a b c (Å): 8.0096 8.0096 3.7048
angles (deg): 90.00 90.00 90.00
Fractional coordinates of all 10 atoms:
Zn  0.1112  0.3888  0.0000
Zn  0.3888  0.8888  0.0000
Zn  0.6112  0.1112  0.0000
Zn  0.8888  0.6112  0.0000
Sb  0.2040  0.7040  0.5000
Sb  0.2960  0.2040  0.5000
Sb  0.7040  0.7960  0.5000
Sb  0.7960  0.2960  0.5000
Se  0.0000  0.0000  0.5000
Se  0.5000  0.5000  0.5000

Computed properties:
E_form (uncorrected) = 112 meV/atom
Crystal system = tetragonal
Electronic total energy = -27.4 eV per cell
Symmetry = P4/mbm, No. 127

# 7
The following is a PBE calculation of a relaxed Y2ThFe crystal, from the Alexandria database.

a b c (Å): 7.0139 9.6006 6.3026
angles (deg): 90.00 90.00 90.00
Fractional coordinates of all 16 atoms:
Y  0.1670  0.0695  0.1778
Y  0.1670  0.4305  0.1778
Y  0.3330  0.5695  0.6778
Y  0.3330  0.9305  0.6778
Y  0.6670  0.0695  0.3222
Y  0.6670  0.4305  0.3222
Y  0.8330  0.5695  0.8222
Y  0.8330  0.9305  0.8222
Th  0.0599  0.2500  0.6588
Th  0.4401  0.7500  0.1588
Th  0.5599  0.2500  0.8412
Th  0.9401  0.7500  0.3412
Fe  0.1317  0.7500  0.9898
Fe  0.3683  0.2500  0.4898
Fe  0.6317  0.7500  0.5102
Fe  0.8683  0.2500  0.0102

Computed properties:
Crystal system = orthorhombic
Electronic total energy = -116.7 eV per cell
Symmetry = Pnma, No. 62
DFT formation energy = -0.091 eV/atom

# 8
The following is a PBE calculation of a relaxed Co2Sn2Au crystal, from the Alexandria database.

a b c (Å): 6.0127 6.0127 6.0127
angles (deg): 139.53 139.53 58.57
Fractional coordinates of all 5 atoms:
Co  0.1066  0.1066  0.0000
Co  0.8934  0.8934  0.0000
Sn  0.2500  0.7500  0.5000
Sn  0.7500  0.2500  0.5000
Au  0.5000  0.5000  0.0000

Computed properties:
Crystal system = tetragonal
Electronic total energy = -23.7 eV per cell
Symmetry = I4/mmm, No. 139
DFT formation energy = 0.362 eV/atom

# 9
The following is a PBE calculation of a relaxed Cr3Re4B2 crystal, from the Alexandria database.

a b c (Å): 6.3686 6.3686 6.7811
angles (deg): 116.67 116.67 25.90
Fractional coordinates of all 9 atoms:
Cr  0.0000  0.0000  0.0000
Cr  0.0693  0.0693  0.6698
Cr  0.9307  0.9307  0.3302
Re  0.2345  0.2345  0.1597
Re  0.3651  0.3651  0.6090
Re  0.6349  0.6349  0.3910
Re  0.7655  0.7655  0.8403
B  0.4028  0.4028  0.0824
B  0.5972  0.5972  0.9176

Computed properties:
Crystal system = monoclinic
Electronic total energy = -93.2 eV per cell
Symmetry = C2/m, No. 12
DFT formation energy = -0.127 eV/atom

# 10
The following is a PBE calculation of a relaxed Li2ZrTiCr crystal, from the Alexandria database.

a b c (Å): 4.5706 4.5706 4.2133
angles (deg): 90.00 90.00 90.00
Fractional coordinates of all 5 atoms:
Li  0.0000  0.5000  0.0000
Li  0.5000  0.0000  0.0000
Zr  0.0000  0.0000  0.5000
Ti  0.5000  0.5000  0.0000
Cr  0.5000  0.5000  0.5000

Computed properties:
Crystal system = tetragonal
Electronic total energy = -25.3 eV per cell
Symmetry = P4/mmm, No. 123
DFT formation energy = 0.909 eV/atom

# 11
The following is a PBE calculation of a relaxed ReNi2Pt crystal, from the Alexandria database.

a b c (Å): 8.5860 8.5860 8.5860
angles (deg): 18.11 18.11 18.11
Fractional coordinates of all 4 atoms:
Re  0.0000  0.0000  0.0000
Ni  0.2527  0.2527  0.2527
Ni  0.7473  0.7473  0.7473
Pt  0.5000  0.5000  0.5000

Computed properties:
Crystal system = trigonal
Electronic total energy = -30.1 eV per cell
Symmetry = R-3m, No. 166
DFT formation energy = -0.024 eV/atom

# 12
The following is a PBE calculation of a relaxed NaZnSb crystal, from the Alexandria database.

a b c (Å): 4.4978 4.4978 4.8493
angles (deg): 90.00 90.00 120.00
Fractional coordinates of all 3 atoms:
Na  0.0000  0.0000  0.0000
Zn  0.3333  0.6667  0.4987
Sb  0.6667  0.3333  0.5014

Computed properties:
E_form (uncorrected) = -263 meV/atom
Crystal system = trigonal
Electronic total energy = -7.5 eV per cell
Symmetry = P3m1, No. 156

# 13
The following is a PBE calculation of a relaxed Ho5Tl4Pb crystal, from the Alexandria database.

a b c (Å): 3.6290 3.6290 20.5997
angles (deg): 90.00 90.00 90.00
Fractional coordinates of all 10 atoms:
Ho  0.0000  0.0000  0.0000
Ho  0.0000  0.0000  0.1984
Ho  0.0000  0.0000  0.3980
Ho  0.0000  0.0000  0.6020
Ho  0.0000  0.0000  0.8016
Tl  0.5000  0.5000  0.0988
Tl  0.5000  0.5000  0.2971
Tl  0.5000  0.5000  0.7029
Tl  0.5000  0.5000  0.9012
Pb  0.5000  0.5000  0.5000

Computed properties:
Crystal system = tetragonal
Electronic total energy = -39.5 eV per cell
Symmetry = P4/mmm, No. 123
DFT formation energy = -0.339 eV/atom

# 14
The following is a PBE calculation of a relaxed Pr6GaIr2Cl3 crystal, from the Alexandria database.

a b c (Å): 10.0014 10.0014 8.9210
angles (deg): 106.77 106.77 23.97
Fractional coordinates of all 12 atoms:
Pr  0.0163  0.0163  0.2520
Pr  0.3203  0.3203  0.4331
Pr  0.3404  0.3404  0.8852
Pr  0.6596  0.6596  0.1148
Pr  0.6797  0.6797  0.5669
Pr  0.9837  0.9837  0.7480
Ga  0.5000  0.5000  0.0000
Ir  0.1677  0.1677  0.3387
Ir  0.8323  0.8323  0.6613
Cl  0.1613  0.1613  0.8393
Cl  0.5000  0.5000  0.5000
Cl  0.8387  0.8387  0.1607

Computed properties:
E_form (uncorrected) = -1115 meV/atom
Crystal system = monoclinic
Electronic total energy = -68.3 eV per cell
Symmetry = C2/m, No. 12

# 15
The following is a PBE calculation of a relaxed CaAcCeY crystal, from the Alexandria database.

a b c (Å): 5.9719 5.9719 5.9719
angles (deg): 60.00 60.00 60.00
Fractional coordinates of all 4 atoms:
Ca  0.0000  0.0000  0.0000
Ac  0.2500  0.2500  0.2500
Ce  0.5000  0.5000  0.5000
Y  0.7500  0.7500  0.7500

Computed properties:
Crystal system = cubic
Electronic total energy = -17.5 eV per cell
Symmetry = F-43m, No. 216
DFT formation energy = 0.241 eV/atom

# 16
The following is a PBE calculation of a relaxed Nd3OsC3 crystal, from the Alexandria database.

a b c (Å): 7.0109 7.0109 5.3646
angles (deg): 90.00 90.00 101.18
Fractional coordinates of all 14 atoms:
Nd  0.1072  0.8928  0.7500
Nd  0.1685  0.4106  0.7500
Nd  0.4106  0.1685  0.2500
Nd  0.5894  0.8315  0.7500
Nd  0.8315  0.5894  0.2500
Nd  0.8928  0.1072  0.2500
Os  0.3029  0.6971  0.2500
Os  0.6971  0.3029  0.7500
C  0.1234  0.8766  0.2500
C  0.1721  0.4295  0.2500
C  0.4295  0.1721  0.7500
C  0.5705  0.8279  0.2500
C  0.8279  0.5705  0.7500
C  0.8766  0.1234  0.7500

Computed properties:
Crystal system = orthorhombic
Electronic total energy = -109.2 eV per cell
Symmetry = Cmcm, No. 63
DFT formation energy = -0.200 eV/atom

# 17
The following is a PBE calculation of a relaxed ThAsHRu crystal, from the Alexandria database.

a b c (Å): 4.1939 4.1939 7.3310
angles (deg): 90.00 90.00 90.00
Fractional coordinates of all 8 atoms:
Th  0.2500  0.2500  0.1787
Th  0.7500  0.7500  0.8213
As  0.2500  0.2500  0.6885
As  0.7500  0.7500  0.3115
H  0.2500  0.7500  0.0000
H  0.7500  0.2500  0.0000
Ru  0.2500  0.7500  0.5000
Ru  0.7500  0.2500  0.5000

Computed properties:
Crystal system = tetragonal
Electronic total energy = -55.7 eV per cell
Symmetry = P4/nmm, No. 129

# 18
The following is a PBE calculation of a relaxed ZnCd2SiW crystal, from the Alexandria database.

a b c (Å): 5.0684 5.0684 4.5472
angles (deg): 90.00 90.00 90.00
Fractional coordinates of all 5 atoms:
Zn  0.0000  0.0000  0.0000
Cd  0.0000  0.5000  0.5000
Cd  0.5000  0.0000  0.5000
Si  0.0000  0.0000  0.5000
W  0.5000  0.5000  0.0000

Computed properties:
E_form (uncorrected) = 1410 meV/atom
Crystal system = tetragonal
Electronic total energy = -14.4 eV per cell
Symmetry = P4/mmm, No. 123

# 19
The following is a PBE calculation of a relaxed KRe2Rh crystal, from the Alexandria database.

a b c (Å): 10.2911 10.2911 10.2911
angles (deg): 15.79 15.79 15.79
Fractional coordinates of all 4 atoms:
K  0.0000  0.0000  0.0000
Re  0.5031  0.5031  0.5031
Re  0.7672  0.7672  0.7672
Rh  0.2404  0.2404  0.2404

Computed properties:
Crystal system = trigonal
Electronic total energy = -31.0 eV per cell
Symmetry = R3m, No. 160
DFT formation energy = 0.597 eV/atom

Summary of magnetic moment in μB/cell
0.0, 0.0, 0.0, 0.0, 0.0, 0.0, 0.0, 0.0, 0.0, 1.4, 0.0, 0.0, 0.0, 0.0, 2.1, 0.0, 0.0, 4.0, 0.0
(order as listed above)